Entry 1:
# Li2CaPuCl8, optimized geometry, DFT PBE-GGA
data_Li2CaPuCl8
_chemical_formula_sum 'Li2 Ca1 Pu1 Cl8'
_symmetry_space_group_name_H-M 'P -1'
_symmetry_Int_Tables_number 2
_cell_length_a 6.593
_cell_length_b 6.858
_cell_length_c 8.283
_cell_angle_alpha 73.55
_cell_angle_beta 89.36
_cell_angle_gamma 77.76
loop_
_symmetry_equiv_pos_as_xyz
'x,y,z'
'-x,-y,-z'
loop_
_atom_site_label
_atom_site_fract_x
_atom_site_fract_y
_atom_site_fract_z
Li1 0.046 0.140 0.326
Ca1 0.500 0.500 0.500
Pu1 0.500 0.500 0.000
Cl1 0.131 0.774 0.447
Cl2 0.146 0.756 0.942
Cl3 0.368 0.282 0.288
Cl4 0.379 0.292 0.815
# - density (g/cm³) = 2.8
# - E (Ry/atom) = -0.3520



Entry 2:
# AcNd2DyAs4, optimized geometry, DFT PBE-GGA
data_AcNd2DyAs4
_chemical_formula_sum 'Ac1 Nd2 Dy1 As4'
_symmetry_space_group_name_H-M 'P 1 2/m 1'
_symmetry_Int_Tables_number 10
_cell_length_a 7.463
_cell_length_b 4.312
_cell_length_c 7.465
_cell_angle_alpha 90.00
_cell_angle_beta 109.38
_cell_angle_gamma 90.00
loop_
_symmetry_equiv_pos_as_xyz
'x,y,z'
'-x,-y,-z'
'-x,y,-z'
'x,-y,z'
loop_
_atom_site_label
_atom_site_fract_x
_atom_site_fract_y
_atom_site_fract_z
Ac1 0.000 0.000 0.000
Nd1 0.000 0.500 0.500
Nd2 0.500 0.000 0.500
Dy1 0.500 0.500 0.000
As1 0.261 0.000 0.752
As2 0.263 0.500 0.256
# - energy of formation (meV/atom) = -1471
# - density (g/cm³) = 7.2



Entry 3:
# BaAlC3, optimized geometry, DFT PBE-GGA
data_BaAlC3
_chemical_formula_sum 'Ba1 Al1 C3'
_symmetry_space_group_name_H-M 'P m -3 m'
_symmetry_Int_Tables_number 221
_symmetry_space_group_name_Hall '-P 4 2 3'
_cell_length_a 4.188
_cell_length_b 4.188
_cell_length_c 4.188
_cell_angle_alpha 90.00
_cell_angle_beta 90.00
_cell_angle_gamma 90.00
loop_
_atom_site_label
_atom_site_fract_x
_atom_site_fract_y
_atom_site_fract_z
Ba1 0.000 0.000 0.000
Al1 0.500 0.500 0.500
C1 0.000 0.500 0.500
# - energy of formation (meV/atom) = 1586
# - relative energy among the computed polymorphs (eV/f.u.) = 0.000
# - density (g/cm³) = 4.5



Entry 4:
# Ca8Ga2Sn, optimized geometry, DFT PBE-GGA
data_Ca8Ga2Sn
_chemical_formula_sum 'Ca16 Ga4 Sn2'
_symmetry_space_group_name_H-M 'C 1 2/m 1'
_symmetry_Int_Tables_number 12
_cell_length_a 18.566
_cell_length_b 5.295
_cell_length_c 7.623
_cell_angle_alpha 90.00
_cell_angle_beta 111.39
_cell_angle_gamma 90.00
loop_
_symmetry_equiv_pos_as_xyz
'x,y,z'
'-x,-y,-z'
'-x,y,-z'
'x,-y,z'
'x+1/2,y+1/2,z'
'-x+1/2,-y+1/2,-z'
'-x+1/2,y+1/2,-z'
'x+1/2,-y+1/2,z'
loop_
_atom_site_label
_atom_site_fract_x
_atom_site_fract_y
_atom_site_fract_z
Ca1 0.029 0.000 0.276
Ca2 0.099 0.500 0.959
Ca3 0.172 0.500 0.455
Ca4 0.196 0.000 0.800
Ga1 0.181 0.000 0.189
Sn1 0.000 0.500 0.500
# - energy of formation (meV/atom) = -358
# - relative energy among the computed polymorphs (eV/f.u.) = 0.000
# - density (g/cm³) = 2.8



Entry 5:
# MnIn4PbS8, optimized geometry, DFT PBE-GGA
data_MnIn4PbS8
_chemical_formula_sum 'Mn3 In12 Pb3 S24'
_symmetry_space_group_name_H-M 'R 3 m'
_symmetry_Int_Tables_number 160
_symmetry_space_group_name_Hall 'R 3 -2"'
_cell_length_a 8.0037
_cell_length_b 8.0037
_cell_length_c 18.4812
_cell_angle_alpha 90.00
_cell_angle_beta 90.00
_cell_angle_gamma 120.00
loop_
_atom_site_label
_atom_site_fract_x
_atom_site_fract_y
_atom_site_fract_z
Mn1 0.0000 0.0000 0.0000
In1 0.0000 0.0000 0.3802
In2 0.0085 0.5042 0.4991
Pb1 0.0000 0.0000 0.6043
S1 0.0000 0.0000 0.2414
S2 0.0000 0.0000 0.7535
S3 0.0292 0.5146 0.7526
S4 0.1950 0.3899 0.5834
# - density (g/cm³) = 4.8
# - E (Ry/atom) = -0.3351



Entry 6:
# RhPbNO2, optimized geometry, DFT PBE-GGA
data_RhPbNO2
_chemical_formula_sum 'Rh1 Pb1 N1 O2'
_symmetry_space_group_name_H-M 'P 4/m m m'
_symmetry_Int_Tables_number 123
_symmetry_space_group_name_Hall '-P 4 2'
_cell_length_a 4.209
_cell_length_b 4.209
_cell_length_c 3.709
_cell_angle_alpha 90.00
_cell_angle_beta 90.00
_cell_angle_gamma 90.00
loop_
_atom_site_label
_atom_site_fract_x
_atom_site_fract_y
_atom_site_fract_z
Rh1 0.000 0.000 0.000
Pb1 0.500 0.500 0.500
N1 0.000 0.000 0.500
O1 0.000 0.500 0.000
# - density (g/cm³) = 9.0
# - E (Ry/atom) = -0.4396



Entry 7:
# Sr6Tl23, optimized geometry, DFT PBE-GGA
data_Sr6Tl23
_chemical_formula_sum 'Sr24 Tl92'
_symmetry_space_group_name_H-M 'F m -3 m'
_symmetry_Int_Tables_number 225
_symmetry_space_group_name_Hall '-F 4 2 3'
_cell_length_a 15.699
_cell_length_b 15.699
_cell_length_c 15.699
_cell_angle_alpha 90.00
_cell_angle_beta 90.00
_cell_angle_gamma 90.00
loop_
_atom_site_label
_atom_site_fract_x
_atom_site_fract_y
_atom_site_fract_z
Sr1 0.000 0.000 0.219
Tl1 0.000 0.000 0.500
Tl2 0.000 0.250 0.250
Tl3 0.122 0.122 0.378
Tl4 0.162 0.162 0.162
# - energy of formation (meV/atom) = -147
# - density (g/cm³) = 9.0



Entry 8:
# SiSb2Rh, optimized geometry, DFT PBE-GGA
data_SiSb2Rh
_chemical_formula_sum 'Si2 Sb4 Rh2'
_symmetry_space_group_name_H-M 'C 1 2/m 1'
_symmetry_Int_Tables_number 12
_cell_length_a 6.604
_cell_length_b 3.773
_cell_length_c 7.063
_cell_angle_alpha 90.00
_cell_angle_beta 107.80
_cell_angle_gamma 90.00
loop_
_symmetry_equiv_pos_as_xyz
'x,y,z'
'-x,-y,-z'
'-x,y,-z'
'x,-y,z'
'x+1/2,y+1/2,z'
'-x+1/2,-y+1/2,-z'
'-x+1/2,y+1/2,-z'
'x+1/2,-y+1/2,z'
loop_
_atom_site_label
_atom_site_fract_x
_atom_site_fract_y
_atom_site_fract_z
Si1 0.000 0.000 0.000
Sb1 0.246 0.000 0.737
Rh1 0.000 0.500 0.500
# - density (g/cm³) = 7.4
# - E (Ry/atom) = -0.3833